(1)
Material: Cs4Ce3GeSe8
Method: DFT, PBE
State: relaxed

The calculation puts the volume at 552 Å³/f.u. The uncorrected formation energy comes out at -1.4327 eV per atom. The value obtained for the total energy is -4.790 eV/atom.

The space group is R-3m (No. 166, hexagonal axes) and the conventional cell measures 8.7671, 8.7671 and 24.8930 Å, with angles of 90.00, 90.00 and 120.00 degrees. The asymmetric unit holds Cs at (0.0000, 0.0000, 0.0000), Cs at (0.0000, 0.5000, 0.0000), Ce at (0.0000, 0.5000, 0.5000), Ge at (0.0000, 0.0000, 0.5000), Se at (0.0000, 0.0000, 0.2299) and Se at (0.0005, 0.5003, 0.2276).

=====

(2)
Material: VHg3Ru
Method: DFT, PBE
State: relaxed

As for the distance to the lowest polymorph of the same formula: 0 meV/atom. As for the formation energy: 1077 meV per atom. The calculation puts the volume at 138 Å³/f.u. The value obtained for the total energy is -2.783 eV/atom.

The space group is Pm-3m (No. 221) and the conventional cell measures 5.1636, 5.1636 and 5.1636 Å, with angles of 90.00, 90.00 and 90.00 degrees. The asymmetric unit holds V at (0.0000, 0.0000, 0.0000), Hg at (0.0000, 0.5000, 0.5000) and Ru at (0.5000, 0.5000, 0.5000).

=====

(3)
Material: CaMn2S4
Method: DFT, PBE
State: relaxed

As for the distance to the lowest polymorph of the same formula: 0 meV/atom. The calculation puts the volume at 148 Å³/f.u. The uncorrected formation energy comes out at -0.9150 eV per atom. The value obtained for the total energy is -6.179 eV/atom.

The space group is Imma (No. 74) and the conventional cell measures 7.2561, 7.7816 and 10.5059 Å, with angles of 90.00, 90.00 and 90.00 degrees. The asymmetric unit holds Ca at (0.0000, 0.0000, 0.0000), Mn at (0.0000, 0.0000, 0.5000), Mn at (0.2500, 0.2500, 0.2500), S at (0.0000, 0.0445, 0.2602) and S at (0.2337, 0.2500, 0.4795).

=====

(4)
Material: KCr2Co
Method: DFT, PBE
State: relaxed

As for the distance to the lowest polymorph of the same formula: 854 meV/atom. As for the formation energy: 1612 meV per atom. The calculation puts the volume at 78 Å³/f.u. The value obtained for the total energy is -5.251 eV/atom.

The space group is I-4m2 (No. 119) and the conventional cell measures 4.3062, 4.3062 and 8.4494 Å, with angles of 90.00, 90.00 and 90.00 degrees. The asymmetric unit holds K at (0.0000, 0.0000, 0.0000), Cr at (0.0000, 0.0000, 0.5000), Cr at (0.0000, 0.5000, 0.2500) and Co at (0.0000, 0.5000, 0.7500).

=====

(5)
Material: Cr2FeTcBr
Method: DFT, PBE
State: relaxed

The calculation puts the volume at 79 Å³/f.u. The uncorrected formation energy comes out at 1.6596 eV per atom. The value obtained for the total energy is -6.290 eV/atom.

The space group is P4/mmm (No. 123) and the conventional cell measures 4.3191, 4.3191 and 4.2454 Å, with angles of 90.00, 90.00 and 90.00 degrees. The asymmetric unit holds Cr at (0.0000, 0.5000, 0.0000), Fe at (0.0000, 0.0000, 0.5000), Tc at (0.5000, 0.5000, 0.5000) and Br at (0.0000, 0.0000, 0.0000).

=====

(6)
Material: Ta2ZnCl
Method: DFT, PBE
State: relaxed

As for the distance to the lowest polymorph of the same formula: 595 meV/atom. The calculation puts the volume at 65 Å³/f.u. The uncorrected formation energy comes out at 0.5336 eV per atom. The value obtained for the total energy is -6.173 eV/atom.

The space group is Fm-3m (No. 225) and the conventional cell measures 6.3828, 6.3828 and 6.3828 Å, with angles of 90.00, 90.00 and 90.00 degrees. The asymmetric unit holds Ta at (0.2500, 0.2500, 0.2500), Zn at (0.0000, 0.0000, 0.0000) and Cl at (0.0000, 0.0000, 0.5000).

=====

(7)
Material: KTcPb2
Method: DFT, PBE
State: relaxed

As for the distance to the lowest polymorph of the same formula: 668 meV/atom. As for the formation energy: 919 meV per atom. The calculation puts the volume at 110 Å³/f.u. The value obtained for the total energy is -3.801 eV/atom.

The space group is F-43m (No. 216) and the conventional cell measures 7.6071, 7.6071 and 7.6071 Å, with angles of 90.00, 90.00 and 90.00 degrees. The asymmetric unit holds K at (0.0000, 0.0000, 0.0000), Tc at (0.2500, 0.2500, 0.2500), Pb at (0.0000, 0.0000, 0.5000) and Pb at (0.2500, 0.2500, 0.7500).

=====

(8)
Material: Ac6Al2Ga
Method: DFT, PBE
State: relaxed

As for the formation energy: -193 meV per atom. The calculation puts the volume at 329 Å³/f.u. The value obtained for the total energy is -4.099 eV/atom.

The space group is Immm (No. 71) and the conventional cell measures 10.7525, 10.8460 and 11.2907 Å, with angles of 90.00, 90.00 and 90.00 degrees. The asymmetric unit holds Ac at (0.0000, 0.2095, 0.1727), Ac at (0.1743, 0.2386, 0.5000), Ac at (0.1971, 0.5000, 0.2484), Al at (0.0000, 0.0000, 0.3839), Al at (0.1361, 0.0000, 0.0000), Ga at (0.0000, 0.5000, 0.0000) and Ga at (0.0000, 0.5000, 0.5000).

=====

(9)
Material: LaRe2Hg
Method: DFT, PBE
State: relaxed

As for the distance to the lowest polymorph of the same formula: 762 meV/atom. As for the formation energy: 938 meV per atom. The calculation puts the volume at 80 Å³/f.u. The value obtained for the total energy is -6.594 eV/atom.

The space group is Immm (No. 71) and the conventional cell measures 3.1632, 5.1280 and 9.8827 Å, with angles of 90.00, 90.00 and 90.00 degrees. The asymmetric unit holds La at (0.0000, 0.0000, 0.0000), Re at (0.0000, 0.5000, 0.2433) and Hg at (0.0000, 0.0000, 0.5000).

=====

(10)
Material: MgScTcSn
Method: DFT, PBE
State: relaxed

As for the distance to the lowest polymorph of the same formula: 59 meV/atom. As for the formation energy: -123 meV per atom. The calculation puts the volume at 76 Å³/f.u. The value obtained for the total energy is -5.697 eV/atom.

The space group is Cm (No. 8) and the conventional cell measures 10.2819, 3.5436 and 4.6589 Å, with angles of 90.00, 116.82 and 90.00 degrees. The asymmetric unit holds Mg at (0.0000, 0.0000, 0.0000), Sc at (0.4575, 0.0000, 0.4577), Tc at (0.2383, 0.5000, 0.2399) and Sn at (0.2337, 0.0000, 0.7348).

=====

(11)
Material: Th2NiAs3Ir4
Method: DFT, PBE
State: relaxed

As for the formation energy: -725 meV per atom. The calculation puts the volume at 182 Å³/f.u. The value obtained for the total energy is -7.726 eV/atom.

The space group is P-4m2 (No. 115) and the conventional cell measures 4.1796, 4.1796 and 10.3983 Å, with angles of 90.00, 90.00 and 90.00 degrees. The asymmetric unit holds Th at (0.0000, 0.5000, 0.2448), Ni at (0.5000, 0.5000, 0.0000), As at (0.0000, 0.0000, 0.0000), As at (0.0000, 0.5000, 0.6388), Ir at (0.0000, 0.0000, 0.5000), Ir at (0.0000, 0.5000, 0.8701) and Ir at (0.5000, 0.5000, 0.5000).

=====

(12)
Material: Li5AgPd2
Method: DFT, PBE
State: relaxed

As for the distance to the lowest polymorph of the same formula: 0 meV/atom. As for the formation energy: -314 meV per atom. The calculation puts the volume at 118 Å³/f.u. The value obtained for the total energy is -3.164 eV/atom.

The space group is I4/mmm (No. 139) and the conventional cell measures 4.3034, 4.3034 and 12.7798 Å, with angles of 90.00, 90.00 and 90.00 degrees. The asymmetric unit holds Li at (0.0000, 0.0000, 0.0000), Li at (0.0000, 0.5000, 0.1380), Ag at (0.0000, 0.0000, 0.5000) and Pd at (0.0000, 0.0000, 0.2523).

=====

Question: The lowest volume belongs to which entry?
Answer: Ta2ZnCl